# 1
MgPt3Pb2 (GGA-PBE, optimized geometry); total DFT energy (no corrections) = -26.86 eV/cell; symmetry = P-4m2, No. 115; spin magnetization = 0.0 μB per cell
1.0
4.986 0.000 0.000
0.000 4.986 0.000
0.000 0.000 5.497
Mg Pt Pb
1 3 2
direct
0.000 0.000 0.000
0.500 0.500 0.000
0.500 0.500 0.500
0.000 0.000 0.500
0.000 0.500 0.720
0.500 0.000 0.280


# 2
Mg3PtPb2 (GGA-PBE, optimized geometry); total DFT energy (no corrections) = -18.05 eV/cell; symmetry = P-4m2, No. 115; spin magnetization = 0.0 μB per cell
1.0
-1.948 4.142 -1.314
-3.837 -0.963 2.651
2.875 3.020 5.258
Pb Mg Pt
2 3 1
direct
0.500 0.000 0.264
0.000 0.500 0.736
0.500 0.500 0.000
0.000 0.000 0.000
0.500 0.500 0.500
0.000 0.000 0.500


# 3
SrMgPtPb (GGA-PBE, optimized geometry); total DFT energy (no corrections) = -14.24 eV/cell; symmetry = F-43m, No. 216; spin magnetization = 0.0 μB per cell
1.0
-1.372 2.277 4.401
-4.939 0.074 1.425
-1.569 -2.844 3.985
Pb Mg Sr Pt
1 1 1 1
direct
0.500 0.500 0.500
0.750 0.750 0.750
0.000 0.000 0.000
0.250 0.250 0.250


# 4
SrMgPtPb (GGA-PBE, optimized geometry); total DFT energy (no corrections) = -14.28 eV/cell; symmetry = F-43m, No. 216; spin magnetization = 0.0 μB per cell
1.0
-1.058 -4.063 2.855
-1.499 0.600 4.814
-4.802 -1.003 1.307
Mg Pt Sr Pb
1 1 1 1
direct
0.750 0.750 0.750
0.500 0.500 0.500
0.000 0.000 0.000
0.250 0.250 0.250


The highest total DFT energy (no corrections) belongs to which entry?
number 3